1.
The following is a PBE calculation of a relaxed Sc2In5Hg crystal, from OQMD.

CIF file:
```
data_Sc2In5Hg
_cell_length_a 5.1834
_cell_length_b 6.4073
_cell_length_c 11.0228
_cell_angle_alpha 90.00
_cell_angle_beta 90.00
_cell_angle_gamma 90.00
_space_group_name_H-M_alt 'A m m 2'
_space_group_IT_number 38
loop_
_space_group_symop_operation_xyz
'x,y,z'
'-x,-y,z'
'-x,y,z'
'x,-y,z'
'x,y+1/2,z+1/2'
'-x,-y+1/2,z+1/2'
'-x,y+1/2,z+1/2'
'x,-y+1/2,z+1/2'
loop_
_atom_site_label
_atom_site_type_symbol
_atom_site_fract_x
_atom_site_fract_y
_atom_site_fract_z
Sc1 Sc 0.0000 0.0000 0.0000
Sc2 Sc 0.5000 0.0000 0.3334
In1 In 0.0000 0.2486 0.7489
In2 In 0.5000 0.0000 0.8335
In3 In 0.5000 0.2473 0.5831
Hg1 Hg 0.0000 0.0000 0.4954
```

Output
total DFT energy (no corrections)	-0.1314	hartree per atom

=====

2.
The following is a PBE calculation of a relaxed Ta2BeSi crystal, from OQMD.

CIF file:
```
data_Ta2BeSi
_cell_length_a 6.2034
_cell_length_b 6.2034
_cell_length_c 6.2034
_cell_angle_alpha 90.00
_cell_angle_beta 90.00
_cell_angle_gamma 90.00
_space_group_name_H-M_alt 'F -4 3 m'
_space_group_IT_number 216
_space_group_name_Hall 'F -4 2 3'
loop_
_atom_site_label
_atom_site_type_symbol
_atom_site_fract_x
_atom_site_fract_y
_atom_site_fract_z
Ta1 Ta 0.0000 0.0000 0.0000
Ta2 Ta 0.2500 0.2500 0.2500
Be1 Be 0.2500 0.2500 0.7500
Si1 Si 0.0000 0.0000 0.5000
```

Output
total DFT energy (no corrections)	-0.2908	hartree per atom

=====

3.
The following is a PBE calculation of a relaxed PmBiB4 crystal, from OQMD.

CIF file:
```
data_PmBiB4
_cell_length_a 3.2340
_cell_length_b 5.4190
_cell_length_c 8.9774
_cell_angle_alpha 90.00
_cell_angle_beta 90.00
_cell_angle_gamma 90.00
_space_group_name_H-M_alt 'I m m m'
_space_group_IT_number 71
_space_group_name_Hall '-I 2 2'
loop_
_atom_site_label
_atom_site_type_symbol
_atom_site_fract_x
_atom_site_fract_y
_atom_site_fract_z
Pm1 Pm 0.0000 0.0000 0.0000
Bi1 Bi 0.0000 0.0000 0.5000
B1 B 0.0000 0.3244 0.2589
```

Output
excess energy over the best structure of this formula in the dataset	0	meV per atom

=====

4.
The following is a PBE calculation of a relaxed KTaCuTe2Se crystal, from OQMD.

CIF file:
```
data_KTaCuTe2Se
_cell_length_a 3.9065
_cell_length_b 15.9935
_cell_length_c 10.1874
_cell_angle_alpha 90.00
_cell_angle_beta 90.00
_cell_angle_gamma 90.00
_space_group_name_H-M_alt 'C m c m'
_space_group_IT_number 63
_space_group_name_Hall '-C 2c 2'
loop_
_atom_site_label
_atom_site_type_symbol
_atom_site_fract_x
_atom_site_fract_y
_atom_site_fract_z
K1 K 0.0000 0.2417 0.2500
Ta1 Ta 0.0000 0.5000 0.0000
Cu1 Cu 0.0000 0.0292 0.7500
Te1 Te 0.0000 0.1252 0.5473
Se1 Se 0.0000 0.4394 0.7500
```

Output
total DFT energy (no corrections)	-0.1798	hartree per atom

=====

5.
The following is a PBE calculation of a relaxed Pm3AlN crystal, from OQMD.

CIF file:
```
data_Pm3AlN
_cell_length_a 4.9394
_cell_length_b 4.9394
_cell_length_c 4.9394
_cell_angle_alpha 90.00
_cell_angle_beta 90.00
_cell_angle_gamma 90.00
_space_group_name_H-M_alt 'P m -3 m'
_space_group_IT_number 221
_space_group_name_Hall '-P 4 2 3'
loop_
_atom_site_label
_atom_site_type_symbol
_atom_site_fract_x
_atom_site_fract_y
_atom_site_fract_z
Pm1 Pm 0.0000 0.0000 0.5000
Al1 Al 0.5000 0.5000 0.5000
N1 N 0.0000 0.0000 0.0000
```

Output
total DFT energy (no corrections)	-0.2227	hartree per atom

=====

6.
The following is a PBE calculation of a relaxed PrZrGa crystal, from OQMD.

CIF file:
```
data_PrZrGa
_cell_length_a 6.8865
_cell_length_b 6.8865
_cell_length_c 6.8865
_cell_angle_alpha 90.00
_cell_angle_beta 90.00
_cell_angle_gamma 90.00
_space_group_name_H-M_alt 'F -4 3 m'
_space_group_IT_number 216
_space_group_name_Hall 'F -4 2 3'
loop_
_atom_site_label
_atom_site_type_symbol
_atom_site_fract_x
_atom_site_fract_y
_atom_site_fract_z
Pr1 Pr 0.0000 0.0000 0.0000
Zr1 Zr 0.0000 0.0000 0.5000
Ga1 Ga 0.2500 0.2500 0.2500
```

Output
excess energy over the best structure of this formula in the dataset	0	meV per atom

=====

Number 1: magnetization 0.01 Bohr magnetons per cell. Number 2: magnetization 0.02 Bohr magnetons per cell. Number 3: magnetization 0.01 Bohr magnetons per cell. Number 4: magnetization 1.91 Bohr magnetons per cell. Number 5: magnetization 0.01 Bohr magnetons per cell. Number 6: magnetization 0.06 Bohr magnetons per cell.